Record 1
Computed, not measured: crystalline CoAgRhCl6 at its relaxed geometry at the PBE level of DFT.

abc: 6.1187 6.1187 11.8568
angles: 90.00 90.00 120.00
Last column: nearest neighbours and their distance in Å.
Element x y z (fractional)
Co 0.3333 0.6667 0.2500  6 Cl 2.34
Co 0.6667 0.3333 0.7500  6 Cl 2.34
Ag 0.0000 0.0000 0.0000  6 Cl 2.76
Ag 0.0000 0.0000 0.5000  6 Cl 2.76
Rh 0.3333 0.6667 0.7500  6 Cl 2.38
Rh 0.6667 0.3333 0.2500  6 Cl 2.38
Cl 0.0046 0.3625 0.1399  1 Co 2.34, 1 Rh 2.38
Cl 0.0046 0.6421 0.3601  1 Co 2.34, 1 Rh 2.38
Cl 0.3579 0.3625 0.3601  1 Co 2.34, 1 Rh 2.38
Cl 0.3579 0.9954 0.1399  1 Co 2.34, 1 Rh 2.38
Cl 0.3625 0.0046 0.6399  1 Co 2.34, 1 Rh 2.38
Cl 0.3625 0.3579 0.8601  1 Co 2.34, 1 Rh 2.38
Cl 0.6375 0.6421 0.1399  1 Co 2.34, 1 Rh 2.38
Cl 0.6375 0.9954 0.3601  1 Co 2.34, 1 Rh 2.38
Cl 0.6421 0.0046 0.8601  1 Co 2.34, 1 Rh 2.38
Cl 0.6421 0.6375 0.6399  1 Co 2.34, 1 Rh 2.38
Cl 0.9954 0.3579 0.6399  1 Co 2.34, 1 Rh 2.38
Cl 0.9954 0.6375 0.8601  1 Co 2.34, 1 Rh 2.38

Values from the calculation:
density of states at the Fermi level = 0.59 states/eV/atom
formation energy without anion corrections = -0.49 eV per atom
M_tot = 1.734 Bohr magnetons per cell
crystal system = trigonal

***

Record 2
Computed, not measured: crystalline CoAgSCl2 at its relaxed geometry at the PBE level of DFT.

abc: 4.8564 4.8564 4.2321
angles: 90.00 90.00 90.00
Last column: nearest neighbours and their distance in Å.
Element x y z (fractional)
Co 0.0000 0.0000 0.0000  2 S 2.12
Ag 0.5000 0.5000 0.5000  8 Cl 3.22, 4 S 3.43
S 0.0000 0.0000 0.5000  2 Co 2.12
Cl 0.0000 0.5000 0.0000  2 Co 2.43
Cl 0.5000 0.0000 0.0000  2 Co 2.43

Values from the calculation:
density of states at the Fermi level = 0.61 states/eV/atom
E above lowest polymorph = 0.000 eV per atom
formation energy without anion corrections = 0.01 eV per atom
M_tot = 1.157 Bohr magnetons per cell
crystal system = tetragonal

***

Record 3
Computed, not measured: crystalline CoAgSCl2 at its relaxed geometry at the PBE level of DFT.

abc: 4.8182 4.8182 5.1314
angles: 90.00 90.00 90.00
Last column: nearest neighbours and their distance in Å.
Element x y z (fractional)
Co 0.0000 0.0000 0.0000  4 S 3.41, 8 Cl 3.52
Ag 0.5000 0.5000 0.5000  4 Cl 2.41, 2 S 2.57
S 0.5000 0.5000 0.0000  2 Ag 2.57
Cl 0.0000 0.5000 0.5000  2 Ag 2.41
Cl 0.5000 0.0000 0.5000  2 Ag 2.41

Values from the calculation:
density of states at the Fermi level = 2.11 states/eV/atom
E above lowest polymorph = 0.673 eV per atom
formation energy without anion corrections = 0.69 eV per atom
M_tot = 2.667 Bohr magnetons per cell
crystal system = tetragonal

***

Record 4
Computed, not measured: crystalline CoAgSb2Cl at its relaxed geometry at the PBE level of DFT.

abc: 5.2712 5.2712 5.0807
angles: 90.00 90.00 90.00
Last column: nearest neighbours and their distance in Å.
Element x y z (fractional)
Co 0.0000 0.0000 0.0000  2 Ag 2.54
Ag 0.0000 0.0000 0.5000  2 Co 2.54, 4 Sb 2.64
Sb 0.0000 0.5000 0.5000  2 Ag 2.64
Sb 0.5000 0.0000 0.5000  2 Ag 2.64
Cl 0.5000 0.5000 0.0000  8 Sb 3.66, 4 Co 3.73

Values from the calculation:
density of states at the Fermi level = 0.98 states/eV/atom
formation energy without anion corrections = 0.90 eV per atom
M_tot = 1.912 Bohr magnetons per cell
crystal system = tetragonal

***

Record 5
Computed, not measured: crystalline ScCoAgCl6 at its relaxed geometry at the PBE level of DFT.

abc: 6.3542 6.3542 12.1504
angles: 90.00 90.00 120.00
Last column: nearest neighbours and their distance in Å.
Element x y z (fractional)
Sc 0.3333 0.6667 0.2500  6 Cl 2.51
Sc 0.6667 0.3333 0.7500  6 Cl 2.51
Co 0.3333 0.6667 0.7500  6 Cl 2.45
Co 0.6667 0.3333 0.2500  6 Cl 2.45
Ag 0.0000 0.0000 0.0000  6 Cl 2.80
Ag 0.0000 0.0000 0.5000  6 Cl 2.80
Cl 0.0066 0.3592 0.6354  1 Co 2.45, 1 Sc 2.51
Cl 0.0066 0.6475 0.8646  1 Co 2.45, 1 Sc 2.51
Cl 0.3525 0.3592 0.8646  1 Co 2.45, 1 Sc 2.51
Cl 0.3525 0.9934 0.6354  1 Co 2.45, 1 Sc 2.51
Cl 0.3592 0.0066 0.1354  1 Co 2.45, 1 Sc 2.51
Cl 0.3592 0.3525 0.3646  1 Co 2.45, 1 Sc 2.51
Cl 0.6408 0.6475 0.6354  1 Co 2.45, 1 Sc 2.51
Cl 0.6408 0.9934 0.8646  1 Co 2.45, 1 Sc 2.51
Cl 0.6475 0.0066 0.3646  1 Co 2.45, 1 Sc 2.51
Cl 0.6475 0.6408 0.1354  1 Co 2.45, 1 Sc 2.51
Cl 0.9934 0.3525 0.1354  1 Co 2.45, 1 Sc 2.51
Cl 0.9934 0.6408 0.3646  1 Co 2.45, 1 Sc 2.51

Values from the calculation:
density of states at the Fermi level = 0.12 states/eV/atom
formation energy without anion corrections = -1.19 eV per atom
M_tot = 6.000 Bohr magnetons per cell
crystal system = trigonal

***

Record 6
Computed, not measured: crystalline Co2SiAgCl at its relaxed geometry at the PBE level of DFT.

abc: 4.3009 4.3009 5.0849
angles: 90.00 90.00 90.00
Last column: nearest neighbours and their distance in Å.
Element x y z (fractional)
Co 0.0000 0.5000 0.0000  2 Si 2.15
Co 0.5000 0.0000 0.0000  2 Si 2.15
Si 0.0000 0.0000 0.0000  4 Co 2.15
Ag 0.5000 0.5000 0.5000  4 Cl 3.04, 8 Co 3.33
Cl 0.0000 0.0000 0.5000  2 Si 2.54

Values from the calculation:
density of states at the Fermi level = 0.68 states/eV/atom
formation energy without anion corrections = 0.69 eV per atom
M_tot = 2.081 Bohr magnetons per cell
crystal system = tetragonal

***

Record 7
Computed, not measured: crystalline CoAgSnCl6 at its relaxed geometry at the PBE level of DFT.

abc: 6.5545 6.5545 5.9059
angles: 90.00 90.00 120.00
Last column: nearest neighbours and their distance in Å.
Element x y z (fractional)
Co 0.0000 0.0000 0.0000  6 Cl 2.29
Ag 0.6667 0.3333 0.0000  6 Cl 2.70
Sn 0.3333 0.6667 0.5000  6 Cl 2.87
Cl 0.2856 0.0015 0.2244  1 Co 2.29
Cl 0.2856 0.2840 0.7756  1 Co 2.29
Cl 0.7160 0.0015 0.7756  1 Co 2.29
Cl 0.7160 0.7144 0.2244  1 Co 2.29
Cl 0.9985 0.2840 0.2244  1 Co 2.29
Cl 0.9985 0.7144 0.7756  1 Co 2.29

Values from the calculation:
density of states at the Fermi level = 0.10 states/eV/atom
formation energy without anion corrections = -0.61 eV per atom
M_tot = 0.000 Bohr magnetons per cell
crystal system = trigonal

***

Record 8
Computed, not measured: crystalline SrCoAg2Cl at its relaxed geometry at the PBE level of DFT.

abc: 5.0466 5.0466 4.5813
angles: 90.00 90.00 90.00
Last column: nearest neighbours and their distance in Å.
Element x y z (fractional)
Sr 0.0000 0.0000 0.0000  8 Ag 3.41, 4 Cl 3.57
Co 0.5000 0.5000 0.5000  2 Cl 2.29, 4 Ag 2.52
Ag 0.0000 0.5000 0.5000  2 Co 2.52
Ag 0.5000 0.0000 0.5000  2 Co 2.52
Cl 0.5000 0.5000 0.0000  2 Co 2.29

Values from the calculation:
density of states at the Fermi level = 1.08 states/eV/atom
formation energy without anion corrections = -0.05 eV per atom
M_tot = 1.047 Bohr magnetons per cell
crystal system = tetragonal